Ho2Er5Th5 | GGA-PBE | relaxed

Output
Its density is 10.22 g/cm3. The calculation puts the calculated formation energy at 4 kJ/mol of atoms.

a = 5.0106 Å, b = 7.9002 Å, c = 10.6689 Å
α = 72.76°, β = 76.42°, γ = 71.51°
Fractional positions:
Er 0.6681 0.6678 0.9960
Er 0.5841 0.0800 0.7519
Er 0.4159 0.9200 0.2481
Er 0.3319 0.3322 0.0040
Er 0.5000 0.5000 0.5000
Ho 0.9169 0.4155 0.7508
Ho 0.0831 0.5845 0.2492
Th 0.2499 0.7529 0.7473
Th 0.1688 0.1651 0.4973
Th 0.8312 0.8349 0.5027
Th 0.0000 0.0000 0.0000
Th 0.7501 0.2471 0.2527


Ce3Si2Pt4 | GGA-PBE | relaxed

Output
Its density is 11.46 g/cm3. The calculation puts the electronic total energy at -6.983 eV/atom.

a = 4.3384 Å, b = 5.7426 Å, c = 8.5955 Å
α = 111.52°, β = 90.00°, γ = 112.19°
Each line ends with the local moment (μB).
Fractional positions:
Pt 0.9035 0.8069 0.5875  0.00
Pt 0.2884 0.5767 0.9233  -0.01
Pt 0.0965 0.1931 0.4125  0.00
Pt 0.7116 0.4233 0.0767  -0.01
Ce 0.6358 0.2715 0.6880  0.03
Ce 0.3642 0.7285 0.3120  0.03
Ce 0.0000 0.0000 0.0000  0.45
Si 0.3392 0.6784 0.6703  0.00
Si 0.6608 0.3216 0.3297  0.00


BaCo4Au | GGA-PBE | relaxed

Output
Its density is 9.51 g/cm3. The calculation puts the calculated formation energy at 43 kJ/mol of atoms.

a = 5.2016 Å, b = 5.2016 Å, c = 5.2016 Å
α = 60.00°, β = 60.00°, γ = 60.00°
Each line ends with the local moment (μB).
Fractional positions:
Co 0.3778 0.3778 0.3778  1.76
Co 0.3778 0.8667 0.3778  1.76
Co 0.3778 0.3778 0.8667  1.76
Co 0.8667 0.3778 0.3778  1.76
Ba 0.0000 0.0000 0.0000  -0.11
Au 0.7500 0.7500 0.7500  0.04


SrTlSe3 | GGA-PBE | relaxed

Output
Its density is 4.26 g/cm3. The calculation puts the electronic total energy at -3.112 eV/atom.

a = 5.9092 Å, b = 5.9092 Å, c = 5.9092 Å
α = 90.00°, β = 90.00°, γ = 90.00°
Each line ends with the local moment (μB).
Fractional positions:
Se 0.5000 0.0000 0.0000  0.50
Se 0.0000 0.0000 0.5000  0.65
Se 0.0000 0.5000 0.0000  0.66
Sr 0.0000 0.0000 0.0000  0.00
Tl 0.5000 0.5000 0.5000  -0.01


CrOsI | GGA-PBE | relaxed

Output
Its density is 9.45 g/cm3. The calculation puts the electronic total energy at -6.581 eV/atom.

a = 3.7755 Å, b = 3.7757 Å, c = 10.5110 Å
α = 90.00°, β = 90.00°, γ = 120.00°
Each line ends with the local moment (μB).
Fractional positions:
Cr 0.3889 0.7777 0.5000  1.55
Cr 0.7223 0.4447 0.0000  3.95
I 0.0555 0.1110 0.8115  -0.02
I 0.0555 0.1110 0.1885  -0.02
Os 0.7222 0.4444 0.3839  -0.97
Os 0.7222 0.4444 0.6161  -0.97


Hf3PdPt | GGA-PBE | relaxed

Output
Its density is 14.22 g/cm3. The calculation puts the calculated formation energy at -50 kJ/mol of atoms.

a = 5.7758 Å, b = 5.7758 Å, c = 15.0362 Å
α = 74.33°, β = 74.33°, γ = 54.89°
Fractional positions:
Hf 0.2097 0.8695 0.9152
Hf 0.9922 0.3519 0.7212
Hf 0.0078 0.6481 0.2788
Hf 0.9203 0.5539 0.1004
Hf 0.1305 0.7903 0.5848
Hf 0.4461 0.0797 0.3996
Hf 0.5539 0.9203 0.6004
Hf 0.3519 0.9922 0.2212
Hf 0.7903 0.1305 0.0848
Hf 0.6481 0.0078 0.7788
Hf 0.8695 0.2097 0.4152
Hf 0.0797 0.4461 0.8996
Pd 0.3402 0.6413 0.1087
Pd 0.6413 0.3402 0.6087
Pd 0.6598 0.3587 0.8913
Pd 0.3587 0.6598 0.3913
Pt 0.0000 0.5000 0.5000
Pt 0.5000 0.0000 0.0000
Pt 0.2951 0.7049 0.7500
Pt 0.7049 0.2951 0.2500


SmTm2MgTl4 | GGA-PBE | relaxed

Output
Its density is 10.37 g/cm3. The calculation puts the calculated formation energy at -26 kJ/mol of atoms.

a = 5.2500 Å, b = 5.2500 Å, c = 9.4261 Å
α = 73.83°, β = 73.83°, γ = 60.00°
Fractional positions:
Mg 0.5000 0.5000 0.5000
Tl 0.3779 0.3779 0.8664
Tl 0.1259 0.1259 0.6223
Tl 0.8741 0.8741 0.3777
Tl 0.6221 0.6221 0.1336
Tm 0.2448 0.2448 0.2657
Tm 0.7552 0.7552 0.7343
Sm 0.0000 0.0000 0.0000


VPdSe2 | GGA-PBE | relaxed

Output
Its density is 5.72 g/cm3. The calculation puts the electronic total energy at -5.650 eV/atom.

a = 5.7309 Å, b = 5.7309 Å, c = 6.8893 Å
α = 65.42°, β = 65.42°, γ = 90.00°
Each line ends with the local moment (μB).
Fractional positions:
Pd 0.7500 0.2500 0.5000  -0.31
Pd 0.0000 0.0000 0.0000  -0.31
Se 0.6054 0.1250 0.2500  -0.12
Se 0.3750 0.3946 0.7500  -0.12
Se 0.1446 0.6250 0.2500  -0.12
Se 0.8750 0.8554 0.7500  -0.12
V 0.5000 0.5000 0.0000  1.48
V 0.2500 0.7500 0.5000  1.48


PrTmZnOs | GGA-PBE | relaxed

Output
Its density is 10.73 g/cm3. The calculation puts the calculated formation energy at -17 kJ/mol of atoms.

a = 4.9839 Å, b = 4.9839 Å, c = 4.9839 Å
α = 60.00°, β = 60.00°, γ = 60.00°
Fractional positions:
Tm 0.7500 0.7500 0.7500
Pr 0.2500 0.2500 0.2500
Zn 0.0000 0.0000 0.0000
Os 0.5000 0.5000 0.5000


Al2PtAu | GGA-PBE | relaxed

Output
Its density is 11.91 g/cm3. The calculation puts the calculated formation energy at -58 kJ/mol of atoms.

a = 4.4473 Å, b = 4.4473 Å, c = 4.4473 Å
α = 60.00°, β = 60.00°, γ = 60.00°
Fractional positions:
Al 0.7500 0.7500 0.7500
Al 0.2500 0.2500 0.2500
Au 0.5000 0.5000 0.5000
Pt 0.0000 0.0000 0.0000


Sm4Dy4Ho3 | GGA-PBE | relaxed

Output
Its density is 7.96 g/cm3. The calculation puts the calculated formation energy at 12 kJ/mol of atoms.

a = 3.5916 Å, b = 9.3667 Å, c = 11.9345 Å
α = 113.11°, β = 98.65°, γ = 90.00°
Fractional positions:
Ho 0.8923 0.8923 0.7847
Ho 0.0000 0.5000 0.0000
Ho 0.1077 0.1077 0.2153
Sm 0.3558 0.5343 0.7115
Sm 0.6442 0.8228 0.2885
Sm 0.3558 0.1772 0.7115
Sm 0.6442 0.4657 0.2885
Dy 0.2597 0.7597 0.5195
Dy 0.7403 0.2403 0.4805
Dy 0.5000 0.1834 0.0000
Dy 0.5000 0.8166 0.0000


Er4Ir3Ru | GGA-PBE | relaxed

Output
Its density is 14.39 g/cm3. The calculation puts the calculated formation energy at -75 kJ/mol of atoms.

a = 3.3861 Å, b = 4.7942 Å, c = 9.5762 Å
α = 90.00°, β = 90.00°, γ = 90.00°
Fractional positions:
Er 0.0000 0.5000 0.7527
Er 0.0000 0.0000 0.0000
Er 0.0000 0.0000 0.5000
Er 0.0000 0.5000 0.2473
Ir 0.5000 0.0000 0.7502
Ir 0.5000 0.0000 0.2498
Ir 0.5000 0.5000 0.5000
Ru 0.5000 0.5000 0.0000


Cs2RbLiAu | GGA-PBE | relaxed

Output
Its density is 2.72 g/cm3. The calculation puts the calculated formation energy at -1 kJ/mol of atoms.

a = 7.0332 Å, b = 7.0332 Å, c = 6.8423 Å
α = 90.00°, β = 90.00°, γ = 90.00°
Fractional positions:
Cs 0.0000 0.5000 0.0000
Cs 0.5000 0.0000 0.0000
Au 0.0000 0.0000 0.0000
Rb 0.0000 0.0000 0.5000
Li 0.5000 0.5000 0.5000